(1)
VASP calculation (PBE) on an optimized crystal structure of Sr2NbFeOs.

Cell lengths 5.940, 5.940, 4.653 Å; angles 90.00, 90.00, 90.00 degrees
Element x y z (fractional)
Sr  0.000  0.500  0.000
Sr  0.500  0.000  0.000
Nb  0.000  0.000  0.000
Fe  0.500  0.500  0.500
Os  0.000  0.000  0.500

---

(2)
VASP calculation (PBE) on an optimized crystal structure of TiNb2FeOs.

Cell lengths 4.845, 4.845, 4.404 Å; angles 90.00, 90.00, 90.00 degrees
Element x y z (fractional)
Ti  0.000  0.000  0.000
Nb  0.000  0.500  0.500
Nb  0.500  0.000  0.500
Fe  0.500  0.500  0.000
Os  0.500  0.500  0.500

---

(3)
VASP calculation (PBE) on an optimized crystal structure of Ti5Nb2Fe2Os.

Cell lengths 10.199, 10.199, 3.025 Å; angles 90.00, 90.00, 90.00 degrees
Element x y z (fractional)
Ti  0.000  0.500  0.000
Ti  0.056  0.203  0.000
Ti  0.203  0.944  0.000
Ti  0.297  0.444  0.000
Ti  0.444  0.703  0.000
Ti  0.500  0.000  0.000
Ti  0.556  0.297  0.000
Ti  0.703  0.556  0.000
Ti  0.797  0.056  0.000
Ti  0.944  0.797  0.000
Nb  0.180  0.680  0.500
Nb  0.320  0.180  0.500
Nb  0.680  0.820  0.500
Nb  0.820  0.320  0.500
Fe  0.129  0.371  0.500
Fe  0.371  0.871  0.500
Fe  0.629  0.129  0.500
Fe  0.871  0.629  0.500
Os  0.000  0.000  0.500
Os  0.500  0.500  0.500

---

(4)
VASP calculation (PBE) on an optimized crystal structure of TmNbFeOs.

Cell lengths 4.552, 4.552, 4.552 Å; angles 60.00, 60.00, 60.00 degrees
Element x y z (fractional)
Tm  0.000  0.000  0.000
Nb  0.500  0.500  0.500
Fe  0.750  0.750  0.750
Os  0.250  0.250  0.250

---

(5)
VASP calculation (PBE) on an optimized crystal structure of Nb2VFeOs.

Cell lengths 4.525, 4.525, 4.400 Å; angles 90.00, 90.00, 90.00 degrees
Element x y z (fractional)
Nb  0.000  0.500  0.000
Nb  0.500  0.000  0.000
V  0.000  0.000  0.500
Fe  0.500  0.500  0.000
Os  0.500  0.500  0.500

---

(6)
VASP calculation (PBE) on an optimized crystal structure of NbVFeOs.

Cell lengths 4.342, 4.342, 4.342 Å; angles 60.00, 60.00, 60.00 degrees
Element x y z (fractional)
Nb  0.000  0.000  0.000
V  0.500  0.500  0.500
Fe  0.250  0.250  0.250
Os  0.750  0.750  0.750

---

Number 1: Fermi-level density of states 14.0 states/eV/f.u., E_form 1.840 eV/atom. Number 2: Fermi-level density of states 8.2 states/eV/f.u., E_form 1.166 eV/atom. Number 3: Fermi-level density of states 11.2 states/eV/f.u., E_form -0.183 eV/atom. Number 4: Fermi-level density of states 1.8 states/eV/f.u., E_form -0.104 eV/atom. Number 5: Fermi-level density of states 7.6 states/eV/f.u., E_form 1.035 eV/atom. Number 6: Fermi-level density of states 3.1 states/eV/f.u., E_form -0.143 eV/atom.